No. 1
# LaPmHoSc

A relaxed LaPmHoSc crystal (PBE, Alexandria via LeMat-Bulk).

CIF file:
```
data_LaPmHoSc
_chemical_formula_sum 'La2 Pm2 Ho2 Sc2'
_cell_length_a 12.2576
_cell_length_b 5.7347
_cell_length_c 3.8271
_cell_angle_alpha 90.00
_cell_angle_beta 108.18
_cell_angle_gamma 90.00
_symmetry_space_group_name_H-M 'C 1 m 1'
_symmetry_Int_Tables_number 8
loop_
_symmetry_equiv_pos_as_xyz
'x,y,z'
'x,-y,z'
'x+1/2,y+1/2,z'
'x+1/2,-y+1/2,z'
loop_
_atom_site_label
_atom_site_type_symbol
_atom_site_fract_x
_atom_site_fract_y
_atom_site_fract_z
_atom_site_occupancy
La1 La 0.0000 0.0000 0.0000 1
Pm1 Pm 0.2270 0.5000 0.2249 1
Ho1 Ho 0.2660 0.0000 0.7644 1
Sc1 Sc 0.4935 0.0000 0.4924 1
```

## Properties
Energy above the most stable polymorph in this dataset = 0.000 eV/f.u.
Fermi-level density of states = 13.31 states/eV/cell
Crystal system = monoclinic
Total magnetization = 0.00 μB per cell

No. 2
# LaPm3HoSc

A relaxed LaPm3HoSc crystal (PBE, Alexandria via LeMat-Bulk).

CIF file:
```
data_LaPm3HoSc
_chemical_formula_sum 'La2 Pm6 Ho2 Sc2'
_cell_length_a 7.9527
_cell_length_b 5.1085
_cell_length_c 10.1707
_cell_angle_alpha 90.00
_cell_angle_beta 108.87
_cell_angle_gamma 90.00
_symmetry_space_group_name_H-M 'P 1 21/m 1'
_symmetry_Int_Tables_number 11
loop_
_symmetry_equiv_pos_as_xyz
'x,y,z'
'-x,-y,-z'
'-x,y+1/2,-z'
'x,-y+1/2,z'
loop_
_atom_site_label
_atom_site_type_symbol
_atom_site_fract_x
_atom_site_fract_y
_atom_site_fract_z
_atom_site_occupancy
La1 La 0.1776 0.2500 0.2976 1
Pm1 Pm 0.1719 0.2500 0.7902 1
Pm2 Pm 0.1717 0.7500 0.0437 1
Pm3 Pm 0.1780 0.7500 0.5436 1
Ho1 Ho 0.4991 0.7500 0.8740 1
Sc1 Sc 0.5001 0.2500 0.6247 1
```

## Properties
Fermi-level density of states = 20.89 states/eV/cell
Crystal system = monoclinic
Total magnetization = 0.00 μB per cell

No. 3
# La5PmHo2Sc

A relaxed La5PmHo2Sc crystal (PBE, Alexandria via LeMat-Bulk).

CIF file:
```
data_La5PmHo2Sc
_chemical_formula_sum 'La10 Pm2 Ho4 Sc2'
_cell_length_a 8.1199
_cell_length_b 8.1199
_cell_length_c 9.6211
_cell_angle_alpha 90.00
_cell_angle_beta 90.00
_cell_angle_gamma 90.00
_symmetry_space_group_name_H-M 'P 4/m b m'
_symmetry_Int_Tables_number 127
_symmetry_space_group_name_Hall '-P 4 2ab'
loop_
_atom_site_label
_atom_site_type_symbol
_atom_site_fract_x
_atom_site_fract_y
_atom_site_fract_z
_atom_site_occupancy
La1 La 0.0000 0.0000 0.0000 1
La2 La 0.2076 0.2924 0.2715 1
Pm1 Pm 0.0000 0.0000 0.5000 1
Ho1 Ho 0.1288 0.6288 0.0000 1
Sc1 Sc 0.0000 0.5000 0.5000 1
```

## Properties
Fermi-level density of states = 25.90 states/eV/cell
Crystal system = tetragonal
Total magnetization = 0.00 μB per cell

Number 1: E -5.0582 eV per atom. Number 2: E -4.9659 eV per atom. Number 3: E -4.6889 eV per atom.